A plane-wave DFT calculation with PBE-GGA was carried out for a geometry-optimized AlBr2 structure.

D(E_F): 0.00 states/eV per cell
energy: -3.24 eV/atom
ρ: 2.85 g/cm3
formation energy (no corrections): -873 meV/atom

```
data_AlBr2
_chemical_formula_sum 'Al4 Br8'
_cell_length_a 15.076
_cell_length_b 3.489
_cell_length_c 8.789
_cell_angle_alpha 90.00
_cell_angle_beta 109.80
_cell_angle_gamma 90.00
_space_group_name_H-M_alt 'C 1 2/m 1'
_space_group_IT_number 12
loop_
_space_group_symop_operation_xyz
'x,y,z'
'-x,-y,-z'
'-x,y,-z'
'x,-y,z'
'x+1/2,y+1/2,z'
'-x+1/2,-y+1/2,-z'
'-x+1/2,y+1/2,-z'
'x+1/2,-y+1/2,z'
loop_
_atom_site_label
_atom_site_fract_x
_atom_site_fract_y
_atom_site_fract_z
Al1 0.004 0.000 0.149
Br1 0.111 0.500 0.820
Br2 0.126 0.500 0.298
```